No. 1
Computed, not measured: a relaxed Cs2Cu2AuI6 crystal at the GGA-PBE level of DFT.

Properties
ΔE_f (raw), kcal/mol of atoms: -14.349
Fermi-level density of states, states/eV/cell: 2.35
M_tot, μB per cell: 0.0

The structure in POSCAR format:
```
Cs2Cu2AuI6
1.0
-2.834 -7.088 2.168
8.399 1.699 2.012
-4.031 3.392 5.820
I Cs Cu Au
6 2 2 1
Direct
0.695 0.898 0.235
0.203 0.898 0.235
0.797 0.102 0.765
0.305 0.102 0.765
0.211 0.423 0.275
0.789 0.577 0.725
0.701 0.402 0.202
0.299 0.598 0.798
0.950 0.901 0.752
0.050 0.099 0.248
0.500 0.000 0.500
```

=====

No. 2
Computed, not measured: a relaxed Cs3Cu2AuI6 crystal at the GGA-PBE level of DFT.

Properties
ΔE_f (raw), kcal/mol of atoms: -16.902
M_tot, μB per cell: 0.0

The structure in POSCAR format:
```
Cs3Cu2AuI6
1.0
-4.147 -6.360 -3.868
1.630 -0.434 8.353
-8.664 4.479 1.923
Au I Cs Cu
1 6 3 2
Direct
0.000 0.000 0.500
0.838 0.162 0.697
0.162 0.838 0.303
0.676 0.838 0.303
0.838 0.676 0.697
0.162 0.324 0.303
0.324 0.162 0.697
0.333 0.667 0.649
0.667 0.333 0.351
0.000 0.000 0.000
0.333 0.667 0.292
0.667 0.333 0.708
```

=====

No. 3
Computed, not measured: a relaxed Cs2KCuAu crystal at the GGA-PBE level of DFT.

Properties
Fermi-level density of states, states/eV/cell: 2.33
ΔH_f (0 K), meV per atom: 103.9
M_tot, μB per cell: 0.0

The structure in POSCAR format:
```
Cs2KCuAu
1.0
-1.297 6.344 -2.715
-6.875 -0.947 1.073
0.435 2.061 4.607
Cs Au K Cu
2 1 1 1
Direct
0.500 0.000 0.000
0.000 0.500 0.000
0.000 0.000 0.500
0.500 0.500 0.500
0.000 0.000 0.000
```

=====

No. 4
Computed, not measured: a relaxed CsNa2CuAu crystal at the GGA-PBE level of DFT.

Properties
Fermi-level density of states, states/eV/cell: 2.93
ΔH_f (0 K), meV per atom: 73.0
M_tot, μB per cell: 0.0

The structure in POSCAR format:
```
CsNa2CuAu
1.0
5.751 0.000 0.000
0.000 5.751 0.000
0.000 0.000 5.112
Na Au Cu Cs
2 1 1 1
Direct
0.500 0.000 0.000
0.000 0.500 0.000
0.000 0.000 0.000
0.000 0.000 0.500
0.500 0.500 0.500
```

=====

Number 4 is which compound? CsNa2CuAu